(1)
Na2SnPb2: relaxed, PBE.

abc: 8.9124 8.9124 3.6032
angles: 90.00 90.00 90.00
Space group P4/mbm (No. 127)
Inequivalent atoms, fractional coordinates:
Na 0.1733 0.3267 0.0000 x4
Sn 0.0000 0.0000 0.5000 x2
Pb 0.1274 0.6274 0.5000 x4

The relative energy among the computed polymorphs is 92 meV per atom. As for the energy of formation: -0.05 eV per atom.

***

(2)
Na3Sn2Pb4: relaxed, PBE.

abc: 14.6417 11.5109 6.4271
angles: 90.00 94.56 90.00
Space group C2/c (No. 15)
Inequivalent atoms, fractional coordinates:
Na 0.0000 0.0044 0.2500 x4
Na 0.1171 0.4473 0.1243 x8
Sn 0.2101 0.0909 0.5188 x8
Pb 0.0583 0.2731 0.5214 x8
Pb 0.1590 0.1720 0.0180 x8

The relative energy among the computed polymorphs is 28 meV per atom. As for the energy of formation: -0.07 eV per atom.

***

(3)
NaSn4Pb: relaxed, PBE.

abc: 5.8682 10.1412 6.0671
angles: 90.00 111.43 90.00
Space group C2/m (No. 12)
Inequivalent atoms, fractional coordinates:
Na 0.0000 0.0000 0.0000 x2
Sn 0.0000 0.1685 0.5000 x4
Sn 0.0000 0.3314 0.0000 x4
Pb 0.0000 0.5000 0.5000 x2

The relative energy among the computed polymorphs is 0 meV per atom. As for the energy of formation: -0.04 eV per atom.

***

(4)
NaSnPb2: relaxed, PBE.

abc: 4.9036 4.9036 4.8113
angles: 90.00 90.00 90.00
Space group P4/mmm (No. 123)
Inequivalent atoms, fractional coordinates:
Na 0.0000 0.0000 0.0000 x1
Sn 0.5000 0.5000 0.0000 x1
Pb 0.0000 0.5000 0.5000 x2

As for the energy of formation: -0.11 eV per atom.

***

(5)
Na4Sn2Pb: relaxed, PBE.

abc: 10.6548 4.7010 8.0179
angles: 90.00 103.35 90.00
Space group C2/m (No. 12)
Inequivalent atoms, fractional coordinates:
Na 0.0602 0.0000 0.2105 x4
Na 0.2166 0.0000 0.6446 x4
Sn 0.1600 0.5000 0.9338 x4
Pb 0.0000 0.5000 0.5000 x2

As for the energy of formation: -0.15 eV per atom.

***

(6)
Na4Sn5Pb3: relaxed, PBE.

abc: 15.7257 5.6556 11.2405
angles: 90.00 128.47 90.00
Space group C2/m (No. 12)
Inequivalent atoms, fractional coordinates:
Na 0.0202 0.0000 0.1991 x4
Na 0.2494 0.0000 0.2145 x4
Sn 0.0000 0.5000 0.5000 x2
Sn 0.1109 0.5000 0.1294 x4
Sn 0.2211 0.0000 0.9062 x4
Pb 0.0000 0.0000 0.5000 x2
Pb 0.1828 0.5000 0.4495 x4

As for the energy of formation: 0.03 eV per atom.

***

(7)
Na7Sn5Pb: relaxed, PBE.

abc: 6.8658 10.4889 11.0947
angles: 90.00 90.00 90.00
Space group Imm2 (No. 44)
Inequivalent atoms, fractional coordinates:
Na 0.0000 0.0000 0.0000 x2
Na 0.0000 0.0000 0.3541 x2
Na 0.0000 0.2762 0.5549 x4
Na 0.0000 0.3223 0.0815 x4
Na 0.0000 0.5000 0.3493 x2
Sn 0.0000 0.5000 0.7422 x2
Sn 0.2157 0.2433 0.8240 x8
Pb 0.0000 0.0000 0.6889 x2

As for the energy of formation: -0.11 eV per atom.

***

(8)
NaSn4Pb5: relaxed, PBE.

abc: 16.8951 5.4466 7.0842
angles: 90.00 91.46 90.00
Space group C2/m (No. 12)
Inequivalent atoms, fractional coordinates:
Na 0.0000 0.0000 0.0000 x2
Sn 0.0102 0.5000 0.2412 x4
Sn 0.1704 0.0000 0.7419 x4
Pb 0.0000 0.0000 0.5000 x2
Pb 0.1693 0.5000 0.9917 x4
Pb 0.1699 0.5000 0.4885 x4

The relative energy among the computed polymorphs is 37 meV per atom. As for the energy of formation: 0.06 eV per atom.

***

(9)
Na4SnPb4: relaxed, PBE.

abc: 10.1625 10.1625 5.0170
angles: 90.00 90.00 90.00
Space group I4/mmm (No. 139)
Inequivalent atoms, fractional coordinates:
Na 0.1628 0.1628 0.0000 x8
Sn 0.0000 0.0000 0.5000 x2
Pb 0.0000 0.3315 0.5000 x8

As for the energy of formation: -0.14 eV per atom.

***

(10)
Na2Sn3Pb3: relaxed, PBE.

abc: 4.7916 4.9633 9.5373
angles: 90.00 90.00 90.00
Space group Pmmm (No. 47)
Inequivalent atoms, fractional coordinates:
Na 0.0000 0.0000 0.2477 x2
Sn 0.0000 0.5000 0.0000 x1
Sn 0.5000 0.5000 0.2457 x2
Pb 0.0000 0.5000 0.5000 x1
Pb 0.5000 0.0000 0.0000 x1
Pb 0.5000 0.0000 0.5000 x1

As for the energy of formation: -0.11 eV per atom.

***

(11)
Na4Sn5Pb: relaxed, PBE.

abc: 3.2486 3.2486 25.5630
angles: 90.00 90.00 90.00
Space group P4/mmm (No. 123)
Inequivalent atoms, fractional coordinates:
Na 0.0000 0.0000 0.0978 x2
Na 0.0000 0.0000 0.2924 x2
Sn 0.5000 0.5000 0.0000 x1
Sn 0.5000 0.5000 0.1955 x2
Sn 0.5000 0.5000 0.3920 x2
Pb 0.0000 0.0000 0.5000 x1

As for the energy of formation: -0.12 eV per atom.

***

(12)
NaSnPb3: relaxed, PBE.

abc: 8.9552 14.5956 9.6070
angles: 90.00 104.20 90.00
Space group C2/c (No. 15)
Inequivalent atoms, fractional coordinates:
Na 0.0000 0.0202 0.2500 x4
Na 0.0000 0.3935 0.7500 x4
Sn 0.0940 0.3980 0.1015 x8
Pb 0.0738 0.1907 0.9622 x8
Pb 0.2032 0.2240 0.3199 x8
Pb 0.2439 0.0501 0.5712 x8

The relative energy among the computed polymorphs is 20 meV per atom. As for the energy of formation: -0.04 eV per atom.